Entry 1:
This record from the Alexandria database describes a geometry-optimized ZrTlSb structure. The functional is PBE.

Properties
space-group type: F-43m (216)

Unit cell a=7.095 b=7.095 c=7.095 alpha=90.00 beta=90.00 gamma=90.00
Fractional positions:
Zr 0.000 0.000 0.000
Zr 0.000 0.500 0.500
Zr 0.500 0.000 0.500
Zr 0.500 0.500 0.000
Tl 0.000 0.000 0.500
Tl 0.000 0.500 0.000
Tl 0.500 0.000 0.000
Tl 0.500 0.500 0.500
Sb 0.250 0.250 0.250
Sb 0.250 0.750 0.750
Sb 0.750 0.250 0.750
Sb 0.750 0.750 0.250


Entry 2:
This record from the Alexandria database describes a geometry-optimized ZrTl2Sb structure. The functional is PBE.

Properties
space-group type: Cm (8)

Unit cell a=11.073 b=3.242 c=5.774 alpha=90.00 beta=96.12 gamma=90.00
Fractional positions:
Zr 0.000 0.000 0.000
Zr 0.500 0.500 0.000
Tl 0.002 0.500 0.508
Tl 0.249 0.500 0.288
Tl 0.502 0.000 0.508
Tl 0.749 0.000 0.288
Sb 0.267 0.000 0.817
Sb 0.767 0.500 0.817


Entry 3:
This record from the Alexandria database describes a geometry-optimized ZrTl2Sb structure. The functional is PBE.

Properties
space-group type: Cmm2 (35)

Unit cell a=4.149 b=5.154 c=10.162 alpha=90.00 beta=90.00 gamma=90.00
Fractional positions:
Zr 0.000 0.000 0.000
Zr 0.500 0.500 0.000
Tl 0.000 0.000 0.505
Tl 0.000 0.500 0.771
Tl 0.500 0.000 0.771
Tl 0.500 0.500 0.505
Sb 0.000 0.500 0.206
Sb 0.500 0.000 0.206


no.,formation energy without anion corrections (eV per atom),E_tot (eV per atom),total moment (μB/f.u.)
1,0.253,-4.760,0.00
2,-0.003,-4.354,0.00
3,-0.103,-4.454,0.00